1.
Density functional theory data (PBE-GGA) for a relaxed structure of InFeSn3.

Structure (extended XYZ):
```
5
Lattice="4.995 0.000 0.000 0.000 4.995 0.000 0.000 0.000 4.995" Properties=species:S:1:pos:R:3 pbc="T T T"
In 0.000 0.000 0.000
Fe 2.497 2.497 2.497
Sn 0.000 2.497 2.497
Sn 2.497 0.000 2.497
Sn 2.497 2.497 0.000
```

* E above lowest polymorph: 0 meV/atom
* electronic total energy: -4.4822 eV/atom
* size of the total moment: 0.000 μB per atom
* density of states at the Fermi level: 3.5 states/eV per cell
* energy of formation: 0.160 eV per atom

***

2.
Density functional theory data (PBE-GGA) for a relaxed structure of Hf2AuSI.

Structure (extended XYZ):
```
5
Lattice="5.259 0.000 0.000 0.000 5.259 0.000 0.000 0.000 5.092" Properties=species:S:1:pos:R:3 pbc="T T T"
Hf 0.000 2.629 0.000
Hf 2.629 0.000 0.000
Au 0.000 0.000 2.546
S 2.629 2.629 2.546
I 0.000 0.000 0.000
```

* formation energy (no corrections): 31.7 kcal/mol of atoms
* electronic total energy: -4.3960 eV/atom
* size of the total moment: 0.000 μB per atom
* density of states at the Fermi level: 6.0 states/eV per cell

***

3.
Density functional theory data (PBE-GGA) for a relaxed structure of CrOsRu2I.

Structure (extended XYZ):
```
5
Lattice="4.516 0.000 0.000 0.000 4.516 0.000 0.000 0.000 4.548" Properties=species:S:1:pos:R:3 pbc="T T T"
Cr 0.000 0.000 0.000
Os 0.000 0.000 2.274
Ru 0.000 2.258 0.000
Ru 2.258 0.000 0.000
I 2.258 2.258 2.274
```

* formation energy (no corrections): 37.5 kcal/mol of atoms
* electronic total energy: -6.5663 eV/atom
* size of the total moment: 0.000 μB per atom
* density of states at the Fermi level: 8.7 states/eV per cell

***

4.
Density functional theory data (PBE-GGA) for a relaxed structure of MgCd2Ga2.

Structure (extended XYZ):
```
10
Lattice="4.771 0.000 0.000 -2.385 4.132 0.000 0.000 0.000 11.459" Properties=species:S:1:pos:R:3 pbc="T T T"
Mg 0.000 0.000 2.865
Mg 0.000 0.000 8.594
Cd 0.000 0.000 0.000
Cd 0.000 0.000 5.730
Cd 0.000 2.754 2.865
Cd 2.385 1.377 8.594
Ga 0.000 2.754 7.016
Ga 0.000 2.754 10.172
Ga 2.385 1.377 1.287
Ga 2.385 1.377 4.443
```

* E above lowest polymorph: 106 meV/atom
* electronic total energy: -1.7958 eV/atom
* size of the total moment: 0.000 μB per atom
* density of states at the Fermi level: 3.7 states/eV per cell
* energy of formation: 0.100 eV per atom

***

5.
Density functional theory data (PBE-GGA) for a relaxed structure of HoTm4Zn5.

Structure (extended XYZ):
```
10
Lattice="3.526 0.000 0.000 0.000 3.526 0.000 0.000 0.000 17.661" Properties=species:S:1:pos:R:3 pbc="T T T"
Ho 0.000 0.000 0.000
Tm 0.000 0.000 3.552
Tm 0.000 0.000 7.073
Tm 0.000 0.000 10.588
Tm 0.000 0.000 14.109
Zn 1.763 1.763 1.808
Zn 1.763 1.763 5.315
Zn 1.763 1.763 8.831
Zn 1.763 1.763 12.347
Zn 1.763 1.763 15.853
```

* electronic total energy: -3.2329 eV/atom
* size of the total moment: 0.000 μB per atom
* density of states at the Fermi level: 9.9 states/eV per cell
* energy of formation: -0.350 eV per atom

***

6.
Density functional theory data (PBE-GGA) for a relaxed structure of Li2AlTc.

Structure (extended XYZ):
```
8
Lattice="9.679 0.000 0.000 0.000 2.595 0.000 -2.076 0.000 4.666" Properties=species:S:1:pos:R:3 pbc="T T T"
Li 0.000 0.000 0.000
Li 0.412 0.000 4.376
Li 4.840 1.297 0.000
Li 5.251 1.297 4.376
Al 3.813 0.000 2.275
Al 8.653 1.297 2.275
Tc 1.544 1.297 2.088
Tc 6.384 0.000 2.088
```

* electronic total energy: -4.4784 eV/atom
* size of the total moment: 0.000 μB per atom
* density of states at the Fermi level: 2.4 states/eV per cell
* energy of formation: 0.006 eV per atom

***

7.
Density functional theory data (PBE-GGA) for a relaxed structure of Th2RuAu.

Structure (extended XYZ):
```
12
Lattice="4.151 0.000 0.000 -2.076 3.595 0.000 0.000 0.000 21.509" Properties=species:S:1:pos:R:3 pbc="T T T"
Th 0.000 0.000 0.000
Th 0.000 0.000 4.107
Th 0.000 2.397 14.339
Th 0.000 2.397 18.446
Th 2.076 1.198 7.170
Th 2.076 1.198 11.277
Ru 0.000 0.000 12.782
Ru 0.000 2.397 5.613
Ru 2.076 1.198 19.952
Au 0.000 0.000 9.236
Au 0.000 2.397 2.067
Au 2.076 1.198 16.406
```

* electronic total energy: -7.4289 eV/atom
* size of the total moment: 0.000 μB per atom
* density of states at the Fermi level: 7.9 states/eV per cell
* energy of formation: -0.581 eV per atom

***

8.
Density functional theory data (PBE-GGA) for a relaxed structure of NaLaAl3.

Structure (extended XYZ):
```
5
Lattice="5.023 0.000 0.000 0.000 5.023 0.000 0.000 0.000 5.023" Properties=species:S:1:pos:R:3 pbc="T T T"
Na 0.000 0.000 0.000
La 2.512 2.512 2.512
Al 0.000 0.000 2.512
Al 0.000 2.512 0.000
Al 2.512 0.000 0.000
```

* E above lowest polymorph: 0 meV/atom
* electronic total energy: -3.0271 eV/atom
* size of the total moment: 0.000 μB per atom
* density of states at the Fermi level: 4.3 states/eV per cell
* energy of formation: 0.468 eV per atom

***

9.
Density functional theory data (PBE-GGA) for a relaxed structure of Pm3Sm2ErTe6.

Structure (extended XYZ):
```
12
Lattice="9.673 -2.203 0.000 9.673 2.203 0.000 -2.057 0.000 8.684" Properties=species:S:1:pos:R:3 pbc="T T T"
Pm 0.000 0.000 0.000
Pm 4.987 0.000 5.782
Pm 12.302 0.000 2.902
Sm 6.060 0.000 1.422
Sm 11.230 0.000 7.262
Er -1.028 0.000 4.342
Te 1.924 0.000 5.052
Te 3.037 0.000 0.711
Te 8.137 0.000 6.434
Te 9.152 0.000 2.250
Te 14.252 0.000 7.973
Te 15.366 0.000 3.633
```

* formation energy (no corrections): -31.6 kcal/mol of atoms
* electronic total energy: -5.2941 eV/atom
* size of the total moment: 0.000 μB per atom
* density of states at the Fermi level: 6.7 states/eV per cell

***

10.
Density functional theory data (PBE-GGA) for a relaxed structure of Pm6ZnPt.

Structure (extended XYZ):
```
16
Lattice="5.160 0.000 0.000 0.000 5.160 0.000 0.000 0.000 17.492" Properties=species:S:1:pos:R:3 pbc="T T T"
Pm 0.000 0.000 4.329
Pm 0.000 0.000 13.163
Pm 0.000 2.580 1.753
Pm 0.000 2.580 6.992
Pm 0.000 2.580 10.499
Pm 0.000 2.580 15.738
Pm 2.580 0.000 1.753
Pm 2.580 0.000 6.992
Pm 2.580 0.000 10.499
Pm 2.580 0.000 15.738
Pm 2.580 2.580 4.417
Pm 2.580 2.580 13.074
Zn 0.000 0.000 0.000
Zn 2.580 2.580 8.746
Pt 0.000 0.000 8.746
Pt 2.580 2.580 0.000
```

* electronic total energy: -4.7988 eV/atom
* size of the total moment: 0.000 μB per atom
* density of states at the Fermi level: 21.5 states/eV per cell
* energy of formation: -0.322 eV per atom

***

11.
Density functional theory data (PBE-GGA) for a relaxed structure of AcPuGeAs.

Structure (extended XYZ):
```
16
Lattice="7.479 0.000 0.000 0.000 7.479 0.000 0.000 0.000 7.479" Properties=species:S:1:pos:R:3 pbc="T T T"
Ac 0.000 0.000 0.000
Ac 0.000 3.740 3.740
Ac 3.740 0.000 3.740
Ac 3.740 3.740 0.000
Pu 0.000 0.000 3.740
Pu 0.000 3.740 0.000
Pu 3.740 0.000 0.000
Pu 3.740 3.740 3.740
Ge 1.870 1.870 1.870
Ge 1.870 5.609 5.609
Ge 5.609 1.870 5.609
Ge 5.609 5.609 1.870
As 1.870 1.870 5.609
As 1.870 5.609 1.870
As 5.609 1.870 1.870
As 5.609 5.609 5.609
```

* electronic total energy: -7.4970 eV/atom
* size of the total moment: 1.361 μB per atom
* density of states at the Fermi level: 51.3 states/eV per cell
* energy of formation: -0.570 eV per atom

***

12.
Density functional theory data (PBE-GGA) for a relaxed structure of AlRe2Tc.

Structure (extended XYZ):
```
8
Lattice="5.172 0.000 0.000 0.000 8.119 0.000 0.000 0.000 2.821" Properties=species:S:1:pos:R:3 pbc="T T T"
Al 0.000 0.000 0.000
Al 2.586 4.060 0.000
Re 1.293 2.030 1.411
Re 1.293 6.089 1.411
Re 3.879 2.030 1.411
Re 3.879 6.089 1.411
Tc 0.000 4.060 0.000
Tc 2.586 0.000 0.000
```

* electronic total energy: -9.6965 eV/atom
* size of the total moment: 0.000 μB per atom
* density of states at the Fermi level: 5.6 states/eV per cell
* energy of formation: 0.055 eV per atom